No. 1
A plane-wave DFT calculation with PBE was carried out for crystalline Ag6Bi2Sb at its relaxed geometry.

Unit cell a=8.067 b=8.067 c=5.194 alpha=105.46 beta=105.46 gamma=42.83
Positions (direct):
Ag: 0.091 0.587 0.200
Ag: 0.249 0.751 0.000
Ag: 0.413 0.909 0.800
Ag: 0.587 0.091 0.200
Ag: 0.751 0.249 0.000
Ag: 0.909 0.413 0.800
Bi: 0.177 0.177 0.316
Bi: 0.823 0.823 0.684
Sb: 0.500 0.500 0.500

- SG: C2/m (12)
- Fermi-level density of states: 3.95 states/eV/cell
- Energy relative to the elements, uncorrected: 0.143 eV/atom

No. 2
A plane-wave DFT calculation with PBE was carried out for crystalline Ni3PdN at its relaxed geometry.

Unit cell a=2.687 b=6.804 c=10.040 alpha=90.00 beta=90.00 gamma=90.00
Positions (direct):
Ni: 0.000 0.000 0.000
Ni: 0.000 0.500 0.500
Ni: 0.500 0.180 0.191
Ni: 0.500 0.320 0.691
Ni: 0.500 0.680 0.691
Ni: 0.500 0.820 0.191
Pd: 0.500 0.000 0.791
Pd: 0.500 0.500 0.291
N: 0.000 0.000 0.177
N: 0.000 0.500 0.677

- SG: Amm2 (38)
- Fermi-level density of states: 8.72 states/eV/cell
- Energy relative to the elements, uncorrected: 0.567 eV/atom

No. 3
A plane-wave DFT calculation with PBE was carried out for crystalline CeBeNiH6 at its relaxed geometry.

Unit cell a=4.228 b=4.228 c=4.329 alpha=90.00 beta=90.00 gamma=120.00
Positions (direct):
Ce: 0.000 0.000 0.000
Be: 0.667 0.333 0.500
Ni: 0.333 0.667 0.500
H: 0.502 0.005 0.244
H: 0.502 0.005 0.756
H: 0.502 0.498 0.244
H: 0.502 0.498 0.756
H: 0.995 0.498 0.244
H: 0.995 0.498 0.756

- Total DFT energy (no corrections): -4.232 eV/atom
- SG: P-6m2 (187)
- Fermi-level density of states: 5.57 states/eV/cell

No. 4
A plane-wave DFT calculation with PBE was carried out for crystalline Na2Ti2CoSe6 at its relaxed geometry.

Unit cell a=6.270 b=6.270 c=7.482 alpha=98.34 beta=98.34 gamma=119.86
Positions (direct):
Na: 0.168 0.832 0.000
Na: 0.832 0.168 0.000
Ti: 0.330 0.670 0.500
Ti: 0.670 0.330 0.500
Co: 0.000 0.000 0.500
Se: 0.075 0.390 0.703
Se: 0.250 0.250 0.302
Se: 0.390 0.075 0.703
Se: 0.610 0.925 0.297
Se: 0.750 0.750 0.698
Se: 0.925 0.610 0.297

- SG: C2/m (12)
- Fermi-level density of states: 4.59 states/eV/cell
- Energy relative to the elements, uncorrected: -0.928 eV/atom

No. 5
A plane-wave DFT calculation with PBE was carried out for crystalline NdHoEr2Tm5 at its relaxed geometry.

Unit cell a=10.179 b=10.179 c=10.473 alpha=90.00 beta=90.00 gamma=148.40
Positions (direct):
Nd: 0.083 0.917 0.500
Nd: 0.917 0.083 0.000
Ho: 0.300 0.700 0.060
Ho: 0.700 0.300 0.560
Er: 0.387 0.613 0.367
Er: 0.389 0.611 0.783
Er: 0.611 0.389 0.283
Er: 0.613 0.387 0.867
Tm: 0.021 0.979 0.784
Tm: 0.112 0.888 0.070
Tm: 0.201 0.799 0.759
Tm: 0.219 0.781 0.360
Tm: 0.482 0.518 0.073
Tm: 0.518 0.482 0.573
Tm: 0.781 0.219 0.860
Tm: 0.799 0.201 0.259
Tm: 0.888 0.112 0.570
Tm: 0.979 0.021 0.284

- SG: Cmc2_1 (36)
- Fermi-level density of states: 28.56 states/eV/cell
- Energy relative to the elements: 166.4 meV/atom

No. 6
A plane-wave DFT calculation with PBE was carried out for crystalline CrSbIrI2 at its relaxed geometry.

Unit cell a=5.636 b=5.636 c=4.942 alpha=90.00 beta=90.00 gamma=90.00
Positions (direct):
Cr: 0.000 0.000 0.000
Sb: 0.500 0.500 0.000
Ir: 0.500 0.500 0.500
I: 0.000 0.500 0.500
I: 0.500 0.000 0.500

- SG: P4/mmm (123)
- Fermi-level density of states: 6.27 states/eV/cell
- ΔE to the lowest computed polymorph: 0.0 meV per atom
- Energy relative to the elements, uncorrected: 1.255 eV/atom

No. 7
A plane-wave DFT calculation with PBE was carried out for crystalline LaB3Pd at its relaxed geometry.

Unit cell a=4.650 b=4.650 c=4.650 alpha=90.00 beta=90.00 gamma=90.00
Positions (direct):
La: 0.000 0.000 0.000
B: 0.000 0.000 0.500
B: 0.000 0.500 0.000
B: 0.500 0.000 0.000
Pd: 0.500 0.500 0.500

- SG: Pm-3m (221)
- Fermi-level density of states: 4.18 states/eV/cell
- Energy relative to the elements: 2471.7 meV/atom
- ΔE to the lowest computed polymorph: 1802.4 meV per atom

No. 8
A plane-wave DFT calculation with PBE was carried out for crystalline Be3GeRh4 at its relaxed geometry.

Unit cell a=4.038 b=4.038 c=5.715 alpha=90.00 beta=90.00 gamma=90.00
Positions (direct):
Be: 0.000 0.000 0.000
Be: 0.000 0.000 0.500
Be: 0.500 0.500 0.000
Ge: 0.500 0.500 0.500
Rh: 0.000 0.500 0.242
Rh: 0.000 0.500 0.758
Rh: 0.500 0.000 0.242
Rh: 0.500 0.000 0.758

- SG: P4/mmm (123)
- Fermi-level density of states: 1.75 states/eV/cell
- Energy relative to the elements: -658.0 meV/atom

No. 9
A plane-wave DFT calculation with PBE was carried out for crystalline Na2GeIr at its relaxed geometry.

Unit cell a=3.729 b=3.729 c=21.365 alpha=90.00 beta=90.00 gamma=90.00
Positions (direct):
Na: 0.246 0.250 0.125
Na: 0.250 0.746 0.375
Na: 0.250 0.754 0.875
Na: 0.254 0.250 0.625
Na: 0.746 0.750 0.625
Na: 0.750 0.246 0.875
Na: 0.750 0.254 0.375
Na: 0.754 0.750 0.125
Ge: 0.000 0.000 0.500
Ge: 0.000 0.500 0.750
Ge: 0.500 0.000 0.250
Ge: 0.500 0.500 0.000
Ir: 0.000 0.000 0.000
Ir: 0.000 0.500 0.250
Ir: 0.500 0.000 0.750
Ir: 0.500 0.500 0.500

- SG: I-42d (122)
- Fermi-level density of states: 10.59 states/eV/cell
- Energy relative to the elements: 305.8 meV/atom

No. 10
A plane-wave DFT calculation with PBE was carried out for crystalline NdErCuIr at its relaxed geometry.

Unit cell a=6.985 b=6.985 c=6.985 alpha=90.00 beta=90.00 gamma=90.00
Positions (direct):
Nd: 0.000 0.000 0.000
Nd: 0.000 0.500 0.500
Nd: 0.500 0.000 0.500
Nd: 0.500 0.500 0.000
Er: 0.000 0.000 0.500
Er: 0.000 0.500 0.000
Er: 0.500 0.000 0.000
Er: 0.500 0.500 0.500
Cu: 0.250 0.250 0.750
Cu: 0.250 0.750 0.250
Cu: 0.750 0.250 0.250
Cu: 0.750 0.750 0.750
Ir: 0.250 0.250 0.250
Ir: 0.250 0.750 0.750
Ir: 0.750 0.250 0.750
Ir: 0.750 0.750 0.250

- SG: F-43m (216)
- Fermi-level density of states: 10.11 states/eV/cell
- Energy relative to the elements: -504.4 meV/atom
- ΔE to the lowest computed polymorph: 21.9 meV per atom

No. 11
A plane-wave DFT calculation with PBE was carried out for crystalline KCuAg2Br4 at its relaxed geometry.

Unit cell a=6.794 b=6.786 c=7.276 alpha=57.66 beta=57.55 gamma=64.79
Positions (direct):
K: 0.000 0.000 0.000
Cu: 0.497 0.497 0.503
Ag: 0.248 0.248 0.252
Ag: 0.748 0.748 0.752
Br: 0.147 0.552 0.853
Br: 0.444 0.847 0.153
Br: 0.552 0.147 0.448
Br: 0.847 0.444 0.556

- SG: Fmm2 (42)
- Energy relative to the elements, uncorrected: -0.647 eV/atom

No. 12
A plane-wave DFT calculation with PBE was carried out for crystalline AcYCdPb at its relaxed geometry.

Unit cell a=7.924 b=7.924 c=7.924 alpha=90.00 beta=90.00 gamma=90.00
Positions (direct):
Ac: 0.000 0.000 0.000
Ac: 0.000 0.500 0.500
Ac: 0.500 0.000 0.500
Ac: 0.500 0.500 0.000
Y: 0.000 0.000 0.500
Y: 0.000 0.500 0.000
Y: 0.500 0.000 0.000
Y: 0.500 0.500 0.500
Cd: 0.250 0.250 0.750
Cd: 0.250 0.750 0.250
Cd: 0.750 0.250 0.250
Cd: 0.750 0.750 0.750
Pb: 0.250 0.250 0.250
Pb: 0.250 0.750 0.750
Pb: 0.750 0.250 0.750
Pb: 0.750 0.750 0.250

- SG: F-43m (216)
- Fermi-level density of states: 14.38 states/eV/cell
- Energy relative to the elements: -372.7 meV/atom